Mg2BeIr at its PBEsol-relaxed geometry. Source: Alexandria, functional SCAN.

abc: 2.987 2.987 6.942
angles: 90.00 90.00 90.00
Element x y z (fractional)
Be  0.000  0.000  0.566
Mg  0.000  0.000  0.947
Mg  0.500  0.500  0.297
Ir  0.500  0.500  0.691

Output
As for the calculated volume: 15.490 Å³ per atom. Its density of states at the Fermi level is 1.0 states/eV per cell. As for the space group: P4mm (99). As for the total energy: -21.79 eV/atom. The density comes out at 6.7 Mg/m³. For the total magnetization, the calculation gives 0.0 μB per cell.